First-principles (PBE) data for an optimized crystal structure of Cu2PdS, as listed in the Alexandria database.

Results
Space group   P2_1/c (14)
Uncorrected formation energy   -0.032 eV/atom
Energy   -70.56 eV for the cell shown

```
Cu2PdS
1.0
-3.975 -0.395 0.003
0.545 -5.506 -1.270
0.235 -2.295 9.992
Cu Pd S
8 4 4
Cartesian
-2.322 -7.389 8.197 Cu
-0.873 -0.807 0.527 Cu
-0.582 -4.718 4.888 Cu
-2.612 -3.478 3.837 Cu
-2.794 -2.649 0.153 Cu
-0.401 -5.548 8.571 Cu
-0.883 -1.656 4.210 Cu
-2.312 -6.541 4.514 Cu
-0.694 -3.077 1.944 Pd
-2.501 -5.119 6.780 Pd
-2.886 -1.217 2.419 Pd
-0.309 -6.979 6.305 Pd
0.277 -2.807 5.897 S
-3.472 -5.389 2.828 S
-1.650 -3.588 8.456 S
-1.544 -4.609 0.268 S
```

First-principles (PBE) data for an optimized crystal structure of Ta2OsCl, as listed in the Alexandria database.

Results
Space group   P4/mmm (123)
Uncorrected formation energy   -0.011 eV/atom
Energy   -36.83 eV for the cell shown

```
Ta2OsCl
1.0
-1.049 2.786 -0.111
-2.564 -1.011 -1.132
-2.687 -0.743 6.752
Cl Os Ta
1 1 2
Cartesian
-2.478 0.702 1.067 Cl
-3.822 0.331 4.442 Os
-2.664 -0.737 6.695 Ta
-1.366 -0.378 3.432 Ta
```

First-principles (PBE) data for an optimized crystal structure of Cs8NbSe6, as listed in the Alexandria database.

Results
Space group   Pmn2_1 (31)
Uncorrected formation energy   -1.038 eV/atom
Energy   -106.74 eV for the cell shown

```
Cs8NbSe6
1.0
-1.266 6.543 -6.719
-3.110 -7.182 -6.407
-14.085 1.996 4.598
Cs Nb Se
16 2 12
Cartesian
-14.301 4.293 2.128 Cs
-9.177 1.586 -5.308 Cs
-4.879 0.089 -10.111 Cs
-10.918 -2.921 -2.999 Cs
-9.520 0.307 -0.119 Cs
-3.167 4.043 -6.583 Cs
-14.140 -0.269 -5.090 Cs
-6.832 -1.830 -6.330 Cs
-5.386 1.511 -3.350 Cs
-12.477 3.573 -1.663 Cs
-14.198 -4.077 -1.320 Cs
-8.103 2.166 -9.666 Cs
-6.862 5.033 -7.108 Cs
-12.329 0.238 2.529 Cs
-8.094 4.129 -0.700 Cs
-2.686 -0.049 -6.625 Cs
-7.901 6.589 -3.551 Nb
-15.588 -0.708 0.375 Nb
-14.058 6.599 -0.574 Se
-8.004 -0.920 -3.068 Se
-10.855 3.402 1.455 Se
-5.892 1.524 -6.832 Se
-6.383 1.642 1.257 Se
-15.953 4.075 -4.810 Se
-5.696 5.435 -3.328 Se
-13.718 -0.132 -1.178 Se
-3.467 -3.558 -5.508 Se
-11.573 0.619 -7.849 Se
-9.708 4.926 -4.006 Se
-2.222 -0.684 -2.943 Se
```

First-principles (PBE) data for an optimized crystal structure of AlTl2Sb, as listed in the Alexandria database.

Results
Space group   P4/mmm (123)
Uncorrected formation energy   0.238 eV/atom
Energy   -11.64 eV for the cell shown

```
AlTl2Sb
1.0
3.997 0.000 0.000
0.000 3.997 0.000
0.000 0.000 6.837
Sb Tl Al
1 2 1
Cartesian
1.998 1.998 5.128 Sb
0.000 0.000 0.053 Tl
0.000 0.000 3.365 Tl
1.998 1.998 1.709 Al
```

First-principles (PBE) data for an optimized crystal structure of Sm2VWN5, as listed in the Alexandria database.

Results
Space group   Cmc2_1 (36)
Uncorrected formation energy   -1.040 eV/atom
Energy   -165.00 eV for the cell shown

```
Sm2VWN5
1.0
-2.900 -1.187 0.972
3.843 -0.298 5.566
-3.025 9.516 2.598
Sm V W N
4 2 2 10
Cartesian
-2.155 6.339 6.850 Sm
-1.587 6.406 3.090 Sm
-0.199 2.549 2.520 Sm
-0.151 0.543 5.750 Sm
-4.207 8.479 3.344 V
0.859 3.531 6.879 V
-1.656 3.788 5.226 W
1.006 -0.264 2.679 W
1.741 -0.633 4.424 N
-3.255 7.479 4.960 N
-0.042 6.645 7.994 N
-0.593 5.622 5.098 N
-0.941 3.793 7.363 N
-2.323 3.942 3.423 N
0.374 3.066 4.862 N
-2.284 2.152 1.351 N
-0.846 0.387 3.486 N
0.096 0.346 0.710 N
```

First-principles (PBE) data for an optimized crystal structure of LiAgBi, as listed in the Alexandria database.

Results
Space group   P2_1/m (11)
Energy   -18.69 eV for the cell shown

```
LiAgBi
1.0
-0.553 4.346 -0.667
-2.563 0.213 3.530
4.630 1.351 4.948
Li Ag Bi
2 2 2
Cartesian
2.298 1.619 5.395 Li
-0.736 3.281 4.026 Li
-2.034 0.740 3.277 Ag
-1.035 2.809 1.195 Ag
0.910 1.022 2.655 Bi
0.651 3.880 6.765 Bi
```

First-principles (PBE) data for an optimized crystal structure of ZnIr2Rh, as listed in the Alexandria database.

Results
Space group   Cmmm (65)
Energy   -25.91 eV for the cell shown

```
ZnIr2Rh
1.0
2.729 0.003 0.000
-1.364 2.364 0.000
0.000 0.000 9.050
Ir Rh Zn
2 1 1
Cartesian
0.000 0.000 9.000 Ir
0.000 0.000 4.575 Ir
0.683 1.183 2.263 Rh
0.683 1.183 6.788 Zn
```

First-principles (PBE) data for an optimized crystal structure of TbPrSmMg, as listed in the Alexandria database.

Results
Space group   F-43m (216)
Energy   -15.59 eV for the cell shown

```
TbPrSmMg
1.0
-1.367 -3.120 -4.464
4.033 -2.189 -3.236
0.943 -5.535 0.048
Pr Mg Tb Sm
1 1 1 1
Cartesian
0.902 -2.711 -1.913 Pr
0.000 0.000 0.000 Mg
1.805 -5.422 -3.826 Tb
2.707 -8.133 -5.739 Sm
```

First-principles (PBE) data for an optimized crystal structure of Tb2Pr2Se2S3, as listed in the Alexandria database.

Results
Space group   I4/mmm (139)
Uncorrected formation energy   -1.685 eV/atom
Energy   -53.33 eV for the cell shown

```
Tb2Pr2Se2S3
1.0
5.432 0.000 0.000
0.000 5.432 0.000
-2.716 -2.716 7.598
Tb Pr Se S
2 2 2 3
Cartesian
2.716 0.000 0.000 Tb
0.000 2.716 0.000 Tb
0.000 0.000 3.039 Pr
2.716 2.716 4.559 Pr
2.716 2.716 1.541 Se
0.000 0.000 6.058 Se
0.000 0.000 0.000 S
0.000 2.716 3.799 S
2.716 0.000 3.799 S
```

First-principles (PBE) data for an optimized crystal structure of OsRhAu2, as listed in the Alexandria database.

Results
Space group   I-42d (122)
Energy   -42.24 eV for the cell shown

```
OsRhAu2
1.0
-3.879 -3.743 -4.991
-4.509 -2.379 5.289
-5.736 -0.966 -0.224
Os Au Rh
2 4 2
Cartesian
0.000 0.000 0.000 Os
-6.904 -3.885 -2.533 Os
-4.452 -2.907 -2.553 Au
-4.707 -2.167 2.664 Au
-7.413 -3.002 -0.097 Au
-11.676 -6.100 0.134 Au
-4.194 -3.061 0.149 Rh
-7.219 -3.203 2.607 Rh
```

First-principles (PBE) data for an optimized crystal structure of Tm6AlSe5, as listed in the Alexandria database.

Results
Space group   C2/m (12)
Uncorrected formation energy   -1.456 eV/atom
Energy   -65.47 eV for the cell shown

```
Tm6AlSe5
1.0
6.907 -0.090 -1.304
-3.717 5.822 -1.304
0.135 0.243 7.021
Tm Al Se
6 1 5
Cartesian
2.547 0.495 1.081 Tm
4.247 3.549 3.333 Tm
0.879 1.579 4.665 Tm
2.446 4.396 -0.251 Tm
-0.922 2.425 1.081 Tm
0.778 5.480 3.333 Tm
0.000 0.000 0.000 Al
5.166 1.038 2.207 Se
3.358 1.885 -1.304 Se
1.662 2.987 2.207 Se
-0.169 3.847 -1.304 Se
-1.841 4.937 2.207 Se
```

First-principles (PBE) data for an optimized crystal structure of ScTa2Te, as listed in the Alexandria database.

Results
Space group   Fm-3m (225)
Uncorrected formation energy   0.519 eV/atom
Energy   -31.10 eV for the cell shown

```
ScTa2Te
1.0
0.000 3.406 3.406
3.406 0.000 3.406
3.406 3.406 0.000
Sc Te Ta
1 1 2
Cartesian
0.000 0.000 0.000 Sc
3.406 3.406 3.406 Te
1.703 1.703 1.703 Ta
5.110 5.110 5.110 Ta
```

> Which formula does entry 11 have?

Tm6AlSe5

> What is the energy in the tenth record?

-42.24 eV for the cell shown